Model w:
Entry from the Alexandria database: a geometry-optimized Mg2Sn3O8 structure (GGA-PBEsol).

Geometry as CIF:
```
data_Mg2Sn3O8
_cell_length_a 6.2689
_cell_length_b 6.2689
_cell_length_c 9.3228
_cell_angle_alpha 90.00
_cell_angle_beta 90.00
_cell_angle_gamma 120.00
_symmetry_space_group_name_H-M 'P 63 m c'
_symmetry_Int_Tables_number 186
_symmetry_space_group_name_Hall 'P 6c -2c'
loop_
_atom_site_label
_atom_site_type_symbol
_atom_site_fract_x
_atom_site_fract_y
_atom_site_fract_z
Mg1 Mg 0.3333 0.6667 0.0000
Mg2 Mg 0.3333 0.6667 0.3699
Sn1 Sn 0.1645 0.3290 0.6558
O1 O 0.0000 0.0000 0.0402
O2 O 0.0374 0.5187 0.5277
O3 O 0.1702 0.3404 0.2574
O4 O 0.3333 0.6667 0.7773
```

Computed properties:
For the magnetization, the calculation gives 0.00 μB/f.u. Its crystal system is hexagonal. The density of states at the Fermi level is 0.00 states/eV per cell.



Model x:
Entry from the Alexandria database: a geometry-optimized Mg2Sn3O8 structure (GGA-PBEsol).

Geometry as CIF:
```
data_Mg2Sn3O8
_cell_length_a 10.0531
_cell_length_b 6.1446
_cell_length_c 5.3671
_cell_angle_alpha 90.00
_cell_angle_beta 100.71
_cell_angle_gamma 90.00
_symmetry_space_group_name_H-M 'C 1 2/m 1'
_symmetry_Int_Tables_number 12
_symmetry_space_group_name_Hall '-C 2y'
loop_
_atom_site_label
_atom_site_type_symbol
_atom_site_fract_x
_atom_site_fract_y
_atom_site_fract_z
Mg1 Mg 0.2049 0.0000 0.0792
Sn1 Sn 0.0000 0.2423 0.5000
Sn2 Sn 0.0000 0.5000 0.0000
O1 O 0.1060 0.0000 0.3683
O2 O 0.1061 0.5000 0.3662
O3 O 0.1246 0.2731 0.8642
```

Computed properties:
For the magnetization, the calculation gives 0.00 μB/f.u. Its crystal system is monoclinic. The density of states at the Fermi level is 0.00 states/eV per cell.



Stability verdict: model w, ahead by 21 meV per atom



Model w:
Entry from the Alexandria database: a geometry-optimized Mg2Ti3O8 structure (GGA-PBEsol).

Geometry as CIF:
```
data_Mg2Ti3O8
_cell_length_a 5.9104
_cell_length_b 5.9104
_cell_length_c 9.3562
_cell_angle_alpha 90.00
_cell_angle_beta 90.00
_cell_angle_gamma 120.00
_symmetry_space_group_name_H-M 'P 63 m c'
_symmetry_Int_Tables_number 186
_symmetry_space_group_name_Hall 'P 6c -2c'
loop_
_atom_site_label
_atom_site_type_symbol
_atom_site_fract_x
_atom_site_fract_y
_atom_site_fract_z
Mg1 Mg 0.3333 0.6667 0.0000
Mg2 Mg 0.3333 0.6667 0.3928
Ti1 Ti 0.1629 0.3258 0.6721
O1 O 0.0000 0.0000 0.0639
O2 O 0.0384 0.5192 0.5500
O3 O 0.1635 0.3270 0.2710
O4 O 0.3333 0.6667 0.7853
```

Computed properties:
For the magnetization, the calculation gives 0.00 μB/f.u. Its crystal system is hexagonal. The density of states at the Fermi level is 0.00 states/eV per cell.



Model x:
Entry from the Alexandria database: a geometry-optimized Mg2Ti3O8 structure (GGA-PBEsol).

Geometry as CIF:
```
data_Mg2Ti3O8
_cell_length_a 10.3257
_cell_length_b 5.9219
_cell_length_c 4.9264
_cell_angle_alpha 90.00
_cell_angle_beta 111.01
_cell_angle_gamma 90.00
_symmetry_space_group_name_H-M 'C 1 2/m 1'
_symmetry_Int_Tables_number 12
_symmetry_space_group_name_Hall '-C 2y'
loop_
_atom_site_label
_atom_site_type_symbol
_atom_site_fract_x
_atom_site_fract_y
_atom_site_fract_z
Mg1 Mg 0.2242 0.0000 0.1520
Ti1 Ti 0.0000 0.2331 0.5000
Ti2 Ti 0.0000 0.5000 0.0000
O1 O 0.1058 0.0000 0.4201
O2 O 0.1083 0.5000 0.4178
O3 O 0.1155 0.2743 0.9053
```

Computed properties:
For the magnetization, the calculation gives 0.00 μB/f.u. Its crystal system is monoclinic. The density of states at the Fermi level is 0.00 states/eV per cell.



Stability verdict: model w, ahead by 6 meV per atom



Model w:
Entry from the Alexandria database: a geometry-optimized Mg2V3O8 structure (GGA-PBEsol).

Geometry as CIF:
```
data_Mg2V3O8
_cell_length_a 5.6926
_cell_length_b 5.6926
_cell_length_c 9.5296
_cell_angle_alpha 90.00
_cell_angle_beta 90.00
_cell_angle_gamma 120.00
_symmetry_space_group_name_H-M 'P 63 m c'
_symmetry_Int_Tables_number 186
_symmetry_space_group_name_Hall 'P 6c -2c'
loop_
_atom_site_label
_atom_site_type_symbol
_atom_site_fract_x
_atom_site_fract_y
_atom_site_fract_z
Mg1 Mg 0.3333 0.6667 0.0000
Mg2 Mg 0.3333 0.6667 0.4193
V1 V 0.1555 0.3109 0.6883
O1 O 0.0000 0.0000 0.0666
O2 O 0.0326 0.5163 0.5739
O3 O 0.1626 0.3252 0.2945
O4 O 0.3333 0.6667 0.7939
```

Computed properties:
For the magnetization, the calculation gives 3.00 μB/f.u. Its crystal system is hexagonal. The density of states at the Fermi level is 0.02 states/eV per cell.



Model x:
Entry from the Alexandria database: a geometry-optimized Mg2V3O8 structure (GGA-PBEsol).

Geometry as CIF:
```
data_Mg2V3O8
_cell_length_a 10.5320
_cell_length_b 5.6825
_cell_length_c 4.7653
_cell_angle_alpha 90.00
_cell_angle_beta 111.85
_cell_angle_gamma 90.00
_symmetry_space_group_name_H-M 'C 1 2/m 1'
_symmetry_Int_Tables_number 12
_symmetry_space_group_name_Hall '-C 2y'
loop_
_atom_site_label
_atom_site_type_symbol
_atom_site_fract_x
_atom_site_fract_y
_atom_site_fract_z
Mg1 Mg 0.2341 0.0000 0.1661
V1 V 0.0000 0.2110 0.5000
V2 V 0.0000 0.5000 0.0000
O1 O 0.1033 0.5000 0.4093
O2 O 0.1144 0.2692 0.9004
O3 O 0.1150 0.0000 0.4180
```

Computed properties:
For the magnetization, the calculation gives 0.98 μB/f.u. Its crystal system is monoclinic. The density of states at the Fermi level is 9.70 states/eV per cell.



Stability verdict: model x, ahead by 5 meV per atom



Model w:
Entry from the Alexandria database: a geometry-optimized Mg3V2O8 structure (GGA-PBEsol).

Geometry as CIF:
```
data_Mg3V2O8
_cell_length_a 6.0066
_cell_length_b 6.0066
_cell_length_c 13.7116
_cell_angle_alpha 90.00
_cell_angle_beta 90.00
_cell_angle_gamma 120.00
_symmetry_space_group_name_H-M 'R -3 m'
_symmetry_Int_Tables_number 166
_symmetry_space_group_name_Hall '-R 3 2"'
loop_
_atom_site_label
_atom_site_type_symbol
_atom_site_fract_x
_atom_site_fract_y
_atom_site_fract_z
Mg1 Mg 0.0000 0.5000 0.0000
V1 V 0.0000 0.0000 0.1239
O1 O 0.0000 0.0000 0.2555
O2 O 0.0250 0.5125 0.7491
```

Computed properties:
For the magnetization, the calculation gives 0.00 μB/f.u. Its crystal system is trigonal. The density of states at the Fermi level is 0.00 states/eV per cell.



Model x:
Entry from the Alexandria database: a geometry-optimized Mg3V2O8 structure (GGA-PBEsol).

Geometry as CIF:
```
data_Mg3V2O8
_cell_length_a 6.0488
_cell_length_b 11.4391
_cell_length_c 8.3023
_cell_angle_alpha 90.00
_cell_angle_beta 90.00
_cell_angle_gamma 90.00
_symmetry_space_group_name_H-M 'C m c e'
_symmetry_Int_Tables_number 64
_symmetry_space_group_name_Hall '-C 2ac 2'
loop_
_atom_site_label
_atom_site_type_symbol
_atom_site_fract_x
_atom_site_fract_y
_atom_site_fract_z
Mg1 Mg 0.0000 0.0000 0.0000
Mg2 Mg 0.2500 0.1360 0.2500
V1 V 0.0000 0.1196 0.6197
O1 O 0.0000 0.0028 0.2458
O2 O 0.0000 0.2480 0.7262
O3 O 0.2287 0.1174 0.5011
```

Computed properties:
For the magnetization, the calculation gives 0.00 μB/f.u. Its crystal system is orthorhombic. The density of states at the Fermi level is 0.00 states/eV per cell.



Stability verdict: model x, ahead by 16 meV per atom